Sm3Al7Zn4 after structural relaxation. Source: Alexandria, functional PBE.

The structure belongs to space group C2/m (No. 12); the cell edges are 16.040, 4.276 and 9.942 Å and the angles 90.00°, 127.55° and 90.00°. The distinct sites, in fractional coordinates, are Sm at (0.000, 0.000, 0.000), Sm at (0.184, 0.500, 0.688), Al at (0.000, 0.000, 0.500), Al at (0.005, 0.500, 0.290), Al at (0.154, 0.000, 0.421), Al at (0.168, 0.500, 0.029), Zn at (0.132, 0.000, 0.857) and Zn at (0.159, 0.500, 0.276).

The calculation puts the density of states at the Fermi level at 12.49 states/eV/cell. The formation enthalpy at 0 K comes out at -411 meV/atom.